Entry 1:
# SmErMnTl PBE-GGA optimized geometry
# - E_tot: -5.212 eV per atom
data_SmErMnTl
_symmetry_space_group_name_H-M 'P 1'
_symmetry_Int_Tables_number 1
_symmetry_space_group_name_Hall 'P 1'
_cell_length_a 5.249
_cell_length_b 5.249
_cell_length_c 5.249
_cell_angle_alpha 60.00
_cell_angle_beta 60.00
_cell_angle_gamma 60.00
loop_
_atom_site_label
_atom_site_fract_x
_atom_site_fract_y
_atom_site_fract_z
Sm1 0.000 0.000 0.000
Er1 0.500 0.500 0.500
Mn1 0.750 0.750 0.750
Tl1 0.250 0.250 0.250

Entry 2:
# CsK2InAu2 PBE-GGA optimized geometry
# - E_tot: -2.279 eV per atom
data_CsK2InAu2
_symmetry_space_group_name_H-M 'P 1'
_symmetry_Int_Tables_number 1
_symmetry_space_group_name_Hall 'P 1'
_cell_length_a 5.210
_cell_length_b 9.323
_cell_length_c 8.760
_cell_angle_alpha 90.00
_cell_angle_beta 90.00
_cell_angle_gamma 90.00
loop_
_atom_site_label
_atom_site_fract_x
_atom_site_fract_y
_atom_site_fract_z
Cs1 0.000 0.067 0.000
Cs2 0.000 0.933 0.500
K1 0.000 0.330 0.345
K2 0.000 0.670 0.845
K3 0.500 0.418 0.010
K4 0.500 0.582 0.510
In1 0.500 0.202 0.648
In2 0.500 0.798 0.148
Au1 0.000 0.329 0.709
Au2 0.000 0.671 0.209
Au3 0.500 0.097 0.299
Au4 0.500 0.903 0.799

Entry 3:
# MnAgW2 PBE-GGA optimized geometry
# - Excess energy over the best structure of this formula in the dataset: 0.128 eV per atom
# - E_tot: -9.028 eV per atom
data_MnAgW2
_symmetry_space_group_name_H-M 'P 1'
_symmetry_Int_Tables_number 1
_symmetry_space_group_name_Hall 'P 1'
_cell_length_a 3.219
_cell_length_b 3.219
_cell_length_c 6.144
_cell_angle_alpha 90.00
_cell_angle_beta 90.00
_cell_angle_gamma 90.00
loop_
_atom_site_label
_atom_site_fract_x
_atom_site_fract_y
_atom_site_fract_z
Mn1 0.000 0.000 0.000
Ag1 0.500 0.500 0.751
W1 0.000 0.000 0.463
W2 0.500 0.500 0.232

Number 1: Fermi-level density of states 4.7 states/eV per cell. Number 2: Fermi-level density of states 5.3 states/eV per cell. Number 3: Fermi-level density of states 4.7 states/eV per cell.